A relaxed BNF2 crystal. Source: the Alexandria database, functional GGA-PBE.

Output
Uncorrected formation energy, eV/atom: 1.68
Energy above the lowest structure with this stoichiometry, meV/atom: 1287

Cell: 5.3743 5.3743 5.3743 Å, 90.00 90.00 90.00°
Space group Fm-3m (No. 225)
Unique sites:
B1 0.0000 0.0000 0.0000 (multiplicity 4)
N1 0.0000 0.0000 0.5000 (multiplicity 4)
F1 0.2500 0.2500 0.2500 (multiplicity 8)

---

A relaxed Ac4Te crystal. Source: the Alexandria database, functional GGA-PBE.

Output
Uncorrected formation energy, eV/atom: -0.26

Cell: 6.3078 6.3078 6.3078 Å, 90.00 90.00 90.00°
Space group Pm-3m (No. 221)
Unique sites:
Ac1 0.0000 0.0000 0.0000 (multiplicity 1)
Ac2 0.0000 0.5000 0.5000 (multiplicity 3)
Te1 0.5000 0.5000 0.5000 (multiplicity 1)

---

A relaxed KBa2CrBr crystal. Source: the Alexandria database, functional GGA-PBE.

Output
Uncorrected formation energy, eV/atom: 0.61

Cell: 7.1815 7.1815 5.4525 Å, 90.00 90.00 90.00°
Space group P4/mmm (No. 123)
Unique sites:
K1 0.0000 0.0000 0.0000 (multiplicity 1)
Ba1 0.0000 0.5000 0.0000 (multiplicity 2)
Cr1 0.0000 0.0000 0.5000 (multiplicity 1)
Br1 0.5000 0.5000 0.5000 (multiplicity 1)

---

A relaxed PmPrRuRh crystal. Source: the Alexandria database, functional GGA-PBE.

Output
DFT formation energy, eV/f.u.: -1.40

Cell: 7.0611 7.0611 7.0611 Å, 90.00 90.00 90.00°
Space group F-43m (No. 216)
Unique sites:
Pm1 0.0000 0.0000 0.0000 (multiplicity 4)
Pr1 0.0000 0.0000 0.5000 (multiplicity 4)
Ru1 0.2500 0.2500 0.7500 (multiplicity 4)
Rh1 0.2500 0.2500 0.2500 (multiplicity 4)

---

A relaxed Cs2KBr crystal. Source: the Alexandria database, functional GGA-PBE.

Output
Uncorrected formation energy, eV/atom: -0.85
Energy above the lowest structure with this stoichiometry, meV/atom: 0

Cell: 5.1217 5.1217 38.4983 Å, 90.00 90.00 120.00°
Space group R3m (No. 160, hexagonal axes)
Unique sites:
Cs1 0.0000 0.0000 0.0000 (multiplicity 3)
Cs2 0.0000 0.0000 0.2187 (multiplicity 3)
K1 0.0000 0.0000 0.7758 (multiplicity 3)
Br1 0.0000 0.0000 0.6095 (multiplicity 3)

---

A relaxed SrZn4Cu2Au crystal. Source: the Alexandria database, functional GGA-PBE.

Output
DFT formation energy, eV/f.u.: -0.99

Cell: 4.2591 4.2591 28.5437 Å, 90.00 90.00 120.00°
Space group R-3m (No. 166, hexagonal axes)
Unique sites:
Sr1 0.0000 0.0000 0.0000 (multiplicity 3)
Zn1 0.0000 0.0000 0.1251 (multiplicity 6)
Zn2 0.0000 0.0000 0.4078 (multiplicity 6)
Cu1 0.0000 0.0000 0.2389 (multiplicity 6)
Au1 0.0000 0.0000 0.5000 (multiplicity 3)

---

A relaxed Zr2NbHRh crystal. Source: the Alexandria database, functional GGA-PBE.

Output
Energy above the lowest structure with this stoichiometry, meV/atom: 26

Cell: 4.7165 4.7165 3.5413 Å, 90.00 90.00 90.00°
Space group P4/mmm (No. 123)
Unique sites:
Zr1 0.0000 0.5000 0.0000 (multiplicity 2)
Nb1 0.0000 0.0000 0.5000 (multiplicity 1)
H1 0.5000 0.5000 0.0000 (multiplicity 1)
Rh1 0.5000 0.5000 0.5000 (multiplicity 1)

---

A relaxed ZrReP crystal. Source: the Alexandria database, functional GGA-PBE.

Output
DFT formation energy, eV/f.u.: -0.40

Cell: 3.3942 4.9816 11.7877 Å, 90.00 90.00 90.00°
Space group Fmm2 (No. 42)
Unique sites:
Zr1 0.0000 0.0000 0.0000 (multiplicity 4)
Re1 0.0000 0.0000 0.6967 (multiplicity 4)
P1 0.0000 0.0000 0.3357 (multiplicity 4)